# 1
VASP calculation (PBE-GGA) on a relaxed Nd3Th5P8 crystal.

Cell lengths 8.305, 8.305, 8.298 Å; angles 59.97, 59.97, 60.00 degrees
Element x y z (fractional)
Nd  0.500  0.000  0.500
Nd  0.000  0.000  0.500
Nd  0.000  0.500  0.500
Th  0.500  0.000  0.000
Th  0.500  0.500  0.000
Th  0.000  0.000  0.000
Th  0.000  0.500  0.000
Th  0.500  0.500  0.500
P  0.250  0.250  0.753
P  0.250  0.747  0.753
P  0.747  0.250  0.753
P  0.748  0.748  0.755
P  0.750  0.750  0.247
P  0.750  0.253  0.247
P  0.253  0.750  0.247
P  0.252  0.252  0.245

## Properties
For the formation energy, the calculation gives -1562 meV per atom. The total energy is -119.7 eV for the cell shown.

---

# 2
VASP calculation (PBE-GGA) on a relaxed Co2RuBr crystal.

Cell lengths 2.956, 4.400, 4.330 Å; angles 90.00, 90.00, 90.00 degrees
Last column: magnetic moment on the atom in μB.
Element x y z (fractional)
Br  0.000  0.500  0.500  0.09
Co  0.000  0.000  0.000  1.86
Co  0.500  0.500  0.000  1.80
Ru  0.500  0.000  0.500  0.97

## Properties
Its polymorph energy (0 for the lowest one) is 300 meV per atom. The formation energy from raw total energies is 0.826 eV per atom. The total energy is -21.9 eV for the cell shown.

---

# 3
VASP calculation (PBE-GGA) on a relaxed Pm7Tm2Mg2 crystal.

Cell lengths 3.578, 10.720, 10.720 Å; angles 64.44, 80.39, 80.39 degrees
Last column: magnetic moment on the atom in μB.
Element x y z (fractional)
Pm  0.825  0.016  0.335  0.00
Pm  0.842  0.487  0.828  0.00
Pm  0.500  0.038  0.962  0.11
Pm  0.610  0.481  0.299  0.00
Pm  0.390  0.701  0.519  0.00
Pm  0.175  0.665  0.984  0.00
Pm  0.158  0.172  0.513  0.00
Tm  0.718  0.867  0.696  0.01
Tm  0.282  0.304  0.133  0.01
Mg  0.000  0.784  0.216  0.00
Mg  0.500  0.340  0.660  0.00

## Properties
For the formation energy, the calculation gives 119 meV per atom. Its polymorph energy (0 for the lowest one) is 7 meV per atom. The total energy is -44.1 eV for the cell shown.

---

# 4
VASP calculation (PBE-GGA) on a relaxed In2BrCl crystal.

Cell lengths 4.490, 4.490, 8.445 Å; angles 74.58, 74.58, 60.00 degrees
Element x y z (fractional)
In  0.080  0.080  0.761
In  0.254  0.254  0.238
Br  0.499  0.499  0.502
Cl  0.667  0.667  0.998

## Properties
Its polymorph energy (0 for the lowest one) is 30 meV per atom. The formation energy from raw total energies is -0.703 eV per atom. The total energy is -11.8 eV for the cell shown.

---

# 5
VASP calculation (PBE-GGA) on a relaxed Zn6Pd2Pt crystal.

Cell lengths 4.696, 7.720, 7.720 Å; angles 71.95, 82.27, 82.27 degrees
Element x y z (fractional)
Zn  0.475  0.681  0.432
Zn  0.025  0.568  0.319
Zn  0.525  0.319  0.568
Zn  0.975  0.432  0.681
Zn  0.641  0.096  0.348
Zn  0.859  0.652  0.904
Zn  0.359  0.904  0.652
Zn  0.141  0.348  0.096
Zn  0.307  0.765  0.015
Zn  0.193  0.985  0.235
Zn  0.693  0.235  0.985
Zn  0.807  0.015  0.765
Pd  0.418  0.545  0.792
Pd  0.082  0.208  0.455
Pd  0.582  0.455  0.208
Pd  0.918  0.792  0.545
Pt  0.250  0.128  0.872
Pt  0.750  0.872  0.128

## Properties
For the formation energy, the calculation gives -428 meV per atom. Its polymorph energy (0 for the lowest one) is 0 meV per atom. The total energy is -55.8 eV for the cell shown.

---

# 6
VASP calculation (PBE-GGA) on a relaxed Rb2CaBrF6 crystal.

Cell lengths 6.972, 6.972, 6.503 Å; angles 57.59, 57.59, 90.00 degrees
Last column: magnetic moment on the atom in μB.
Element x y z (fractional)
Ca  0.500  0.500  0.000  0.01
Br  0.000  0.000  0.000  0.43
Rb  0.750  0.250  0.500  0.00
Rb  0.250  0.750  0.500  0.00
F  0.228  0.228  0.544  0.03
F  0.772  0.772  0.456  0.03
F  0.277  0.277  0.000  0.09
F  0.723  0.723  0.000  0.09
F  0.723  0.277  0.000  0.09
F  0.277  0.723  0.000  0.09

## Properties
The formation energy from raw total energies is -2.373 eV per atom. The total energy is -40.6 eV for the cell shown.